# Li14Mn2S9

A relaxed structure of Li14Mn2S9 (PBEsol, the Alexandria database).

The calculation puts the volume at 16.46 Å³ per atom.

Unit cell a=6.973 b=6.973 c=9.770 alpha=90.00 beta=90.00 gamma=120.00
Atoms (fractional coordinates):
Mn: 0.333 0.667 0.757
Mn: 0.667 0.333 0.243
Li: 0.000 0.000 0.751
Li: 0.346 0.326 0.589
Li: 0.324 0.363 0.090
Li: 0.000 0.000 0.249
Li: 0.676 0.637 0.910
Li: 0.326 0.979 0.411
Li: 0.961 0.324 0.910
Li: 0.979 0.654 0.589
Li: 0.363 0.039 0.910
Li: 0.021 0.346 0.411
Li: 0.674 0.021 0.589
Li: 0.654 0.674 0.411
Li: 0.637 0.961 0.090
Li: 0.039 0.676 0.090
S: 0.667 0.333 0.484
S: 0.311 0.339 0.838
S: 0.000 0.000 0.500
S: 0.661 0.972 0.838
S: 0.689 0.661 0.162
S: 0.333 0.667 0.516
S: 0.339 0.028 0.162
S: 0.972 0.311 0.162
S: 0.028 0.689 0.838

---

# K2LiScF6

A relaxed structure of K2LiScF6 (PBEsol, the Alexandria database).

The calculation puts the volume at 13.34 Å³ per atom. The value obtained for the density of states at the Fermi level is 0.000 states/eV/cell.

Unit cell a=5.735 b=5.735 c=5.735 alpha=60.00 beta=60.00 gamma=60.00
Atoms (fractional coordinates):
F: 0.752 0.248 0.248
F: 0.752 0.248 0.752
F: 0.752 0.752 0.248
F: 0.248 0.752 0.248
F: 0.248 0.248 0.752
F: 0.248 0.752 0.752
K: 0.250 0.250 0.250
K: 0.750 0.750 0.750
Li: 0.500 0.500 0.500
Sc: 0.000 0.000 0.000

---

How do the records compare in raw formation energy? In the order shown, they have -1.202; -3.366 eV/atom.